# 1
A plane-wave DFT calculation with GGA-PBE was carried out for a geometry-optimized Ac2PmCo2 structure.

Calculated values
Spin magnetization = 0.09 μB/f.u.
Formation enthalpy at 0 K = 5 kJ per mole of atoms

Cell lengths 7.6959, 7.6959, 4.4672 Å; angles 90.00, 90.00, 90.00 degrees
Closest atoms and distances in Å follow each position.
Positions (direct):
Ac  0.1752  0.3248  0.0000  6 Co 3.15-3.28
Ac  0.3248  0.8248  0.0000  6 Co 3.15-3.28
Ac  0.6752  0.1752  0.0000  6 Co 3.15-3.28
Ac  0.8248  0.6752  0.0000  6 Co 3.15-3.28
Pm  0.0000  0.0000  0.5000  4 Co 3.15
Pm  0.5000  0.5000  0.5000  4 Co 3.15
Co  0.1042  0.6042  0.5000  1 Co 2.27
Co  0.3958  0.1042  0.5000  1 Co 2.27
Co  0.6042  0.8958  0.5000  1 Co 2.27
Co  0.8958  0.3958  0.5000  1 Co 2.27

---

# 2
A plane-wave DFT calculation with GGA-PBE was carried out for a geometry-optimized Al3Co structure.

Calculated values
Spin magnetization = 0.00 μB/f.u.
Formation enthalpy at 0 K = -8 kJ per mole of atoms

Cell lengths 2.7562, 2.8275, 7.8791 Å; angles 90.00, 90.00, 90.00 degrees
Closest atoms and distances in Å follow each position.
Positions (direct):
Al  0.0000  0.0000  0.0000  2 Co 2.40
Al  0.0000  0.5000  0.4263  4 Co 2.42
Al  0.5000  0.5000  0.7403  10 Al 2.76-2.84
Co  0.5000  0.0000  0.2497  6 Al 2.40-2.42

---

# 3
A plane-wave DFT calculation with GGA-PBE was carried out for a geometry-optimized PrGd2Tm structure.

Calculated values
Spin magnetization = 15.15 μB/f.u.
Formation enthalpy at 0 K = 14 kJ per mole of atoms

Cell lengths 3.5135, 3.5135, 37.2797 Å; angles 90.00, 90.00, 120.00 degrees
Closest atoms and distances in Å follow each position.
Positions (direct):
Pr  0.0000  0.0000  0.0000  2 Gd 3.39, 6 Pr 3.51
Pr  0.3333  0.6667  0.6667  2 Gd 3.39, 6 Pr 3.51
Pr  0.6667  0.3333  0.3333  2 Gd 3.39, 6 Pr 3.51
Gd  0.0000  0.0000  0.0908  1 Pr 3.39, 3 Tm 3.48, 6 Gd 3.51
Gd  0.0000  0.0000  0.9092  1 Pr 3.39, 3 Tm 3.48, 6 Gd 3.51
Gd  0.3333  0.6667  0.5759  1 Pr 3.39, 3 Tm 3.48, 6 Gd 3.51
Gd  0.3333  0.6667  0.7575  1 Pr 3.39, 3 Tm 3.48, 6 Gd 3.51
Gd  0.6667  0.3333  0.2425  1 Pr 3.39, 3 Tm 3.48, 6 Gd 3.51
Gd  0.6667  0.3333  0.4241  1 Pr 3.39, 3 Tm 3.48, 6 Gd 3.51
Tm  0.0000  0.0000  0.5000  6 Gd 3.48, 6 Tm 3.51
Tm  0.3333  0.6667  0.1667  6 Gd 3.48, 6 Tm 3.51
Tm  0.6667  0.3333  0.8333  6 Gd 3.48, 6 Tm 3.51

---

# 4
A plane-wave DFT calculation with GGA-PBE was carried out for a geometry-optimized TcSbPt2 structure.

Calculated values
ΔE_f (raw) = 13.3 kJ/mol of formula units
Spin magnetization = 0.00 μB/f.u.

Cell lengths 8.8704, 3.1285, 5.0298 Å; angles 90.00, 102.21, 90.00 degrees
Closest atoms and distances in Å follow each position.
Positions (direct):
Tc  0.0000  0.0000  0.0000  5 Pt 2.69-2.79, 3 Sb 2.83-2.88
Tc  0.5000  0.5000  0.0000  5 Pt 2.69-2.79, 3 Sb 2.83-2.88
Sb  0.2488  0.5000  0.2797  7 Pt 2.79-3.00, 3 Tc 2.83-2.88
Sb  0.7488  0.0000  0.2797  7 Pt 2.79-3.00, 3 Tc 2.83-2.88
Pt  0.0019  0.5000  0.5418  3 Pt 2.74-2.80, 3 Sb 2.79-2.82, 2 Tc 2.79
Pt  0.2549  0.0000  0.7907  3 Tc 2.69-2.70, 3 Pt 2.74-2.80, 4 Sb 2.93-3.00
Pt  0.5019  0.0000  0.5418  3 Pt 2.74-2.80, 3 Sb 2.79-2.82, 2 Tc 2.79
Pt  0.7549  0.5000  0.7907  3 Tc 2.69-2.70, 3 Pt 2.74-2.80, 4 Sb 2.93-3.00